The following is a PBE-GGA calculation of a relaxed structure of CrIn2Br, from Alexandria via LeMat-Bulk.

Results
As for the distance to the lowest polymorph of the same formula: 172.3 meV per atom.

abc: 5.1312 3.4370 6.0732
angles: 90.00 101.94 90.00
Closest atoms and distances in Å follow each position.
Space group P2/m (No. 10)
Unique sites:
Cr 0.0000 0.0000 0.0000  6 In 3.04-3.09
In 0.0000 0.0000 0.5000  2 Cr 3.04, 4 Br 3.09
In 0.5000 0.5000 0.0000  2 Br 3.04, 4 Cr 3.09
Br 0.5000 0.5000 0.5000  6 In 3.04-3.09